The following is a DFT calculation (PBE-GGA) of an optimized crystal structure of MoAs2Se.

Calculated values
E   -5.66 eV per atom
ρ   6.97 g/cm3
Calculated volume   19.33 Å³ per atom
Total magnetic moment   0.000 μB per atom

Unit cell a=3.121 b=4.365 c=11.353 alpha=90.00 beta=90.00 gamma=90.00
Space group Immm (No. 71)
Asymmetric unit:
Mo 0.000 0.000 0.000
As 0.000 0.500 0.311
Se 0.000 0.000 0.500



The following is a DFT calculation (PBE-GGA) of an optimized crystal structure of KNiCl.

Calculated values
E   -3.49 eV per atom
ρ   2.95 g/cm3
Calculated volume   25.01 Å³ per atom
Total magnetic moment   0.000 μB per atom

Unit cell a=4.158 b=4.158 c=9.311 alpha=83.75 beta=79.48 gamma=71.76
Space group P1 (No. 1)
Asymmetric unit:
K 0.000 0.000 0.000
K 0.102 0.202 0.411
Ni 0.542 0.205 0.716
Ni 0.943 0.606 0.716
Cl 0.420 0.745 0.681
Cl 0.551 0.602 0.211



The following is a DFT calculation (PBE-GGA) of an optimized crystal structure of RbBiSbPt2.

Calculated values
E   -4.60 eV per atom
ρ   8.33 g/cm3
Calculated volume   32.15 Å³ per atom
Total magnetic moment   0.000 μB per atom

Unit cell a=6.858 b=4.636 c=10.450 alpha=90.00 beta=104.63 gamma=90.00
Space group P2_1/m (No. 11)
Asymmetric unit:
Rb 0.058 0.250 0.276
Bi 0.358 0.750 0.058
Sb 0.345 0.750 0.545
Pt 0.474 0.250 0.655
Pt 0.479 0.750 0.818



The following is a DFT calculation (PBE-GGA) of an optimized crystal structure of PrZnSiNi6.

Calculated values
E   -5.33 eV per atom
ρ   7.54 g/cm3
Calculated volume   14.35 Å³ per atom
Total magnetic moment   0.000 μB per atom

Unit cell a=5.155 b=7.472 c=13.409 alpha=90.00 beta=90.00 gamma=90.00
Space group Imma (No. 74)
Asymmetric unit:
Pr 0.000 0.250 0.004
Zn 0.000 0.000 0.500
Si 0.250 0.250 0.250
Ni 0.000 0.250 0.386
Ni 0.000 0.250 0.753
Ni 0.247 0.020 0.841



The following is a DFT calculation (PBE-GGA) of an optimized crystal structure of Ca2Ag3F7.

Calculated values
E   -4.55 eV per atom
ρ   4.56 g/cm3
Calculated volume   16.28 Å³ per atom
Total magnetic moment   0.000 μB per atom

Unit cell a=21.373 b=5.921 c=6.174 alpha=90.00 beta=90.00 gamma=90.00
Space group Cmc2_1 (No. 36)
Asymmetric unit:
Ca 0.101 0.249 0.000
Ag 0.000 0.276 0.445
Ag 0.205 0.227 0.567
F 0.000 0.118 0.056
F 0.072 0.454 0.707
F 0.135 0.047 0.292
F 0.198 0.392 0.921



The following is a DFT calculation (PBE-GGA) of an optimized crystal structure of Ca3Pu3CrN8.

Calculated values
E   -9.30 eV per atom
ρ   7.75 g/cm3
Calculated volume   14.51 Å³ per atom
Total magnetic moment   0.800 μB per atom

Unit cell a=6.6859 b=6.6859 c=16.8679 alpha=90.00 beta=90.00 gamma=120.00
Space group R-3m (No. 166, hexagonal axes)
Asymmetric unit:
Ca 0.0000 0.5000 0.0000
Pu 0.0000 0.5000 0.5000
Cr 0.0000 0.0000 0.5000
N 0.0000 0.0000 0.2415
N 0.0186 0.5093 0.2307



The following is a DFT calculation (PBE-GGA) of an optimized crystal structure of Cs3Rb5H8.

Calculated values
E   -2.31 eV per atom
ρ   3.00 g/cm3
Calculated volume   28.88 Å³ per atom
Total magnetic moment   0.000 μB per atom

Unit cell a=8.6601 b=8.6601 c=21.3427 alpha=90.00 beta=90.00 gamma=120.00
Space group R-3m (No. 166, hexagonal axes)
Asymmetric unit:
Cs 0.0000 0.5000 0.0000
Rb 0.0000 0.0000 0.0000
Rb 0.0000 0.0000 0.5000
Rb 0.0000 0.5000 0.5000
H 0.0000 0.0000 0.2451
H 0.0064 0.5032 0.7532



The following is a DFT calculation (PBE-GGA) of an optimized crystal structure of Ca3Er3MnS8.

Calculated values
E   -6.00 eV per atom
ρ   4.54 g/cm3
Calculated volume   22.75 Å³ per atom
Total magnetic moment   0.316 μB per atom

Unit cell a=7.7789 b=7.7789 c=19.5332 alpha=90.00 beta=90.00 gamma=120.00
Space group R-3m (No. 166, hexagonal axes)
Asymmetric unit:
Ca 0.0000 0.5000 0.0000
Er 0.0000 0.5000 0.5000
Mn 0.0000 0.0000 0.5000
S 0.0000 0.0000 0.2469
S 0.0076 0.5038 0.2434



- Number 7 is which compound?
  Cs3Rb5H8



- What is the formula in the seventh record?
  Cs3Rb5H8



- Look up the ρ of the seventh one.
  3.00 g/cm3